# 1
This record from Alexandria via LeMat-Bulk describes a relaxed Y2MnFe crystal. The functional is PBE-GGA.

a b c (Å): 4.8696 4.8696 4.8696
angles (deg): 60.00 60.00 60.00
With the nearest neighbours (Å) after each atom.
Sites, in units of the cell vectors:
Mn 0.7500 0.7500 0.7500  4 Fe 2.98, 4 Y 2.98
Y 0.2500 0.2500 0.2500  4 Fe 2.98, 4 Y 2.98
Y 0.0000 0.0000 0.0000  4 Y 2.98, 4 Mn 2.98
Fe 0.5000 0.5000 0.5000  4 Mn 2.98, 4 Y 2.98

Computed properties:
- DFT formation energy: 0.42 eV/atom
- Crystal system: cubic
- SG: F-43m (216)
- E above lowest polymorph: 0.401 eV per atom

***

# 2
This record from Alexandria via LeMat-Bulk describes a relaxed YMn3Fe3 crystal. The functional is PBE-GGA.

a b c (Å): 6.0646 6.0646 6.0646
angles (deg): 90.00 90.00 90.00
With the nearest neighbours (Å) after each atom.
Sites, in units of the cell vectors:
Fe 0.2500 0.0000 0.5000  4 Mn 2.14
Fe 0.7500 0.0000 0.5000  4 Mn 2.14
Fe 0.5000 0.7500 0.0000  4 Mn 2.14
Fe 0.5000 0.2500 0.0000  4 Mn 2.14
Fe 0.0000 0.5000 0.2500  4 Mn 2.14
Fe 0.0000 0.5000 0.7500  4 Mn 2.14
Mn 0.5000 0.0000 0.7500  4 Fe 2.14
Mn 0.2500 0.5000 0.0000  4 Fe 2.14
Mn 0.7500 0.5000 0.0000  4 Fe 2.14
Mn 0.5000 0.0000 0.2500  4 Fe 2.14
Mn 0.0000 0.7500 0.5000  4 Fe 2.14
Mn 0.0000 0.2500 0.5000  4 Fe 2.14
Y 0.5000 0.5000 0.5000  12 Mn 3.39, 12 Fe 3.39
Y 0.0000 0.0000 0.0000  12 Mn 3.39, 12 Fe 3.39

Computed properties:
- DFT formation energy: 0.60 eV/atom
- Crystal system: cubic
- SG: Pm-3n (223)